Density functional theory data (PBE) for an optimized crystal structure of Pu4CdGa3.

Structure (POSCAR):
```
Pu4CdGa3
1.0
2.987 0.000 0.000
0.000 5.582 0.000
0.000 0.000 11.162
Pu Cd Ga
4 1 3
direct
0.000 0.000 0.000
0.000 0.000 0.500
0.000 0.500 0.237
0.000 0.500 0.763
0.500 0.500 0.500
0.500 0.000 0.253
0.500 0.000 0.747
0.500 0.500 0.000
```

Results
The value obtained for the density of states at the Fermi level is 3.36 states/eV/atom. The spin magnetization comes out at 11.2 μB per cell. The formation energy comes out at -1.395 eV per formula unit. The calculated density comes out at 11.58 Mg/m³.